Entry 1:
Compound: Al2FeIrBr
Source: Alexandria
Functional: PBE
Structure: optimized geometry

Formation energy without anion corrections in eV/atom: 1.578
Magnetic moment in μB/f.u.: 3.203
Total energy in eV per cell: -18.594

a = 4.8845 Å, b = 4.8845 Å, c = 4.6755 Å
α = 90.00°, β = 90.00°, γ = 90.00°
Atoms (fractional coordinates):
Al 0.0000 0.5000 0.0000
Al 0.5000 0.0000 0.0000
Fe 0.0000 0.0000 0.5000
Ir 0.5000 0.5000 0.5000
Br 0.5000 0.5000 0.0000



Entry 2:
Compound: LaAl2FeBr
Source: Alexandria
Functional: PBE
Structure: optimized geometry

Formation energy without anion corrections in eV/atom: 0.780
Magnetic moment in μB/f.u.: 3.006
Total energy in eV per cell: -18.646

a = 5.0935 Å, b = 5.0935 Å, c = 5.5296 Å
α = 90.00°, β = 90.00°, γ = 90.00°
Atoms (fractional coordinates):
La 0.0000 0.0000 0.0000
Al 0.0000 0.5000 0.5000
Al 0.5000 0.0000 0.5000
Fe 0.5000 0.5000 0.0000
Br 0.0000 0.0000 0.5000



Entry 3:
Compound: LaAlFeBr2
Source: Alexandria
Functional: PBE
Structure: optimized geometry

Formation energy without anion corrections in eV/atom: -0.007
Magnetic moment in μB/f.u.: 1.231
Total energy in eV per cell: -20.513

a = 5.0048 Å, b = 5.0048 Å, c = 5.0210 Å
α = 90.00°, β = 90.00°, γ = 90.00°
Atoms (fractional coordinates):
La 0.0000 0.0000 0.0000
Al 0.5000 0.5000 0.0000
Fe 0.0000 0.0000 0.5000
Br 0.0000 0.5000 0.5000
Br 0.5000 0.0000 0.5000



Entry 4:
Compound: La2AlFeBr
Source: Alexandria
Functional: PBE
Structure: optimized geometry

Formation energy without anion corrections in eV/atom: 0.143
Magnetic moment in μB/f.u.: 0.000
Total energy in eV per cell: -23.016

a = 5.7054 Å, b = 5.7054 Å, c = 4.3007 Å
α = 90.00°, β = 90.00°, γ = 90.00°
Atoms (fractional coordinates):
La 0.0000 0.5000 0.0000
La 0.5000 0.0000 0.0000
Al 0.0000 0.0000 0.5000
Fe 0.5000 0.5000 0.5000
Br 0.5000 0.5000 0.0000



Entry 5:
Compound: AlFeSe2Br
Source: Alexandria
Functional: PBE
Structure: optimized geometry

Formation energy without anion corrections in eV/atom: 0.166
Magnetic moment in μB/f.u.: 3.624
Offset from the most stable computed form in eV/f.u.: 0.000
Total energy in eV per cell: -20.016

a = 4.6268 Å, b = 4.6268 Å, c = 5.2823 Å
α = 90.00°, β = 90.00°, γ = 90.00°
Atoms (fractional coordinates):
Al 0.0000 0.0000 0.0000
Fe 0.5000 0.5000 0.5000
Se 0.0000 0.5000 0.5000
Se 0.5000 0.0000 0.5000
Br 0.5000 0.5000 0.0000



Entry 6:
Compound: AlFeSe2Br
Source: Alexandria
Functional: PBE
Structure: optimized geometry

Formation energy without anion corrections in eV/atom: 0.332
Magnetic moment in μB/f.u.: 3.907
Offset from the most stable computed form in eV/f.u.: 0.827
Total energy in eV per cell: -19.189

a = 4.9215 Å, b = 4.9215 Å, c = 4.9469 Å
α = 90.00°, β = 90.00°, γ = 90.00°
Atoms (fractional coordinates):
Al 0.0000 0.0000 0.0000
Fe 0.5000 0.5000 0.5000
Se 0.0000 0.5000 0.0000
Se 0.5000 0.0000 0.0000
Br 0.0000 0.0000 0.5000



Entry 7:
Compound: AlFeSi2Br
Source: Alexandria
Functional: PBE
Structure: optimized geometry

Formation energy without anion corrections in eV/atom: 1.408
Magnetic moment in μB/f.u.: 2.351
Total energy in eV per cell: -17.683

a = 5.0797 Å, b = 5.0797 Å, c = 4.3715 Å
α = 90.00°, β = 90.00°, γ = 90.00°
Atoms (fractional coordinates):
Al 0.0000 0.0000 0.0000
Fe 0.5000 0.5000 0.0000
Si 0.0000 0.5000 0.5000
Si 0.5000 0.0000 0.5000
Br 0.5000 0.5000 0.5000



Entry 8:
Compound: Al2FeTeBr
Source: Alexandria
Functional: PBE
Structure: optimized geometry

Formation energy without anion corrections in eV/atom: 1.260
Magnetic moment in μB/f.u.: 3.477
Total energy in eV per cell: -14.462

a = 5.2902 Å, b = 5.2902 Å, c = 5.5916 Å
α = 90.00°, β = 90.00°, γ = 90.00°
Atoms (fractional coordinates):
Al 0.0000 0.5000 0.0000
Al 0.5000 0.0000 0.0000
Fe 0.0000 0.0000 0.5000
Te 0.5000 0.5000 0.5000
Br 0.5000 0.5000 0.0000



Entry 9:
Compound: AlGa2Br8
Source: Alexandria
Functional: PBE
Structure: optimized geometry

Formation energy without anion corrections in eV/atom: -0.759
Magnetic moment in μB/f.u.: 0.000
Total energy in eV per cell: -31.529

a = 8.3579 Å, b = 8.3579 Å, c = 6.4964 Å
α = 99.62°, β = 99.62°, γ = 79.99°
Atoms (fractional coordinates):
Al 0.0000 0.0000 0.0000
Ga 0.1923 0.1923 0.6860
Ga 0.8077 0.8077 0.3140
Br 0.0869 0.7515 0.1856
Br 0.1753 0.1753 0.2895
Br 0.2485 0.9131 0.8144
Br 0.3754 0.3754 0.8479
Br 0.6246 0.6246 0.1521
Br 0.7515 0.0869 0.1856
Br 0.8247 0.8247 0.7105
Br 0.9131 0.2485 0.8144



Entry 10:
Compound: AlGaBr4
Source: Alexandria
Functional: PBE
Structure: optimized geometry

Formation energy without anion corrections in eV/atom: -0.617
Magnetic moment in μB/f.u.: 0.000
Offset from the most stable computed form in eV/f.u.: 1.981
Total energy in eV per cell: -68.649

a = 8.0669 Å, b = 10.6200 Å, c = 10.7809 Å
α = 90.00°, β = 90.00°, γ = 90.00°
Atoms (fractional coordinates):
Al 0.0773 0.2500 0.2500
Al 0.4227 0.7500 0.2500
Al 0.5773 0.2500 0.7500
Al 0.9227 0.7500 0.7500
Ga 0.2500 0.0000 0.6947
Ga 0.2500 0.5000 0.8053
Ga 0.7500 0.0000 0.3053
Ga 0.7500 0.5000 0.1947
Br 0.0106 0.0288 0.8169
Br 0.0106 0.4712 0.6831
Br 0.1872 0.6794 0.9294
Br 0.1872 0.8206 0.5706
Br 0.3128 0.1794 0.5706
Br 0.3128 0.3206 0.9294
Br 0.4894 0.5288 0.6831
Br 0.4894 0.9712 0.8169
Br 0.5106 0.0288 0.1831
Br 0.5106 0.4712 0.3169
Br 0.6872 0.6794 0.0706
Br 0.6872 0.8206 0.4294
Br 0.8128 0.1794 0.4294
Br 0.8128 0.3206 0.0706
Br 0.9894 0.5288 0.3169
Br 0.9894 0.9712 0.1831



Entry 11:
Compound: AlGa3Br6
Source: Alexandria
Functional: PBE
Structure: optimized geometry

Formation energy without anion corrections in eV/atom: -0.775
Magnetic moment in μB/f.u.: 0.000
Total energy in eV per cell: -61.214

a = 9.9471 Å, b = 9.9471 Å, c = 7.5930 Å
α = 90.00°, β = 90.00°, γ = 104.46°
Atoms (fractional coordinates):
Al 0.1953 0.8047 0.5000
Al 0.8047 0.1953 0.0000
Ga 0.1179 0.2921 0.5674
Ga 0.2921 0.1179 0.0674
Ga 0.4108 0.5892 0.1150
Ga 0.5892 0.4108 0.6150
Ga 0.7079 0.8821 0.5674
Ga 0.8821 0.7079 0.0674
Br 0.0514 0.9486 0.4181
Br 0.1007 0.5872 0.3744
Br 0.2104 0.7896 0.8028
Br 0.3224 0.3573 0.8351
Br 0.3573 0.3224 0.3351
Br 0.4128 0.8993 0.3744
Br 0.5872 0.1007 0.8744
Br 0.6427 0.6776 0.8351
Br 0.6776 0.6427 0.3351
Br 0.7896 0.2104 0.3028
Br 0.8993 0.4128 0.8744
Br 0.9486 0.0514 0.9181



Entry 12:
Compound: AlGa3Br
Source: Alexandria
Functional: PBE
Structure: optimized geometry

Formation energy without anion corrections in eV/atom: 0.102
Magnetic moment in μB/f.u.: 0.000
Offset from the most stable computed form in eV/f.u.: 0.000
Total energy in eV per cell: -13.984

a = 5.0943 Å, b = 5.0943 Å, c = 5.0943 Å
α = 90.00°, β = 90.00°, γ = 90.00°
Atoms (fractional coordinates):
Al 0.0000 0.0000 0.0000
Ga 0.0000 0.0000 0.5000
Ga 0.0000 0.5000 0.0000
Ga 0.5000 0.0000 0.0000
Br 0.5000 0.5000 0.5000



Please write out number 3 again, unchanged.
Compound: LaAlFeBr2
Source: Alexandria
Functional: PBE
Structure: optimized geometry

Formation energy without anion corrections in eV/atom: -0.007
Magnetic moment in μB/f.u.: 1.231
Total energy in eV per cell: -20.513

a = 5.0048 Å, b = 5.0048 Å, c = 5.0210 Å
α = 90.00°, β = 90.00°, γ = 90.00°
Atoms (fractional coordinates):
La 0.0000 0.0000 0.0000
Al 0.5000 0.5000 0.0000
Fe 0.0000 0.0000 0.5000
Br 0.0000 0.5000 0.5000
Br 0.5000 0.0000 0.5000